The following is a DFT calculation (GGA-PBEsol) of crystalline LiBr3 at its relaxed geometry.

## Properties
- Calculated total energy: -2.377 eV per atom
- Relative energy among the computed polymorphs: 0.00 kJ per mole of atoms
- Total magnetic moment: 0.00 μB per formula unit
- E_form (uncorrected): -483 meV/atom

Cell lengths 5.094, 5.139, 5.139 Å; angles 70.35, 70.71, 109.29 degrees
Atoms (fractional coordinates):
Br1 0.500 0.500 0.500
Br2 0.000 0.000 0.500
Li1 0.500 0.000 0.000
Br3 0.000 0.500 0.000

***

The following is a DFT calculation (GGA-PBEsol) of crystalline InReOs2F at its relaxed geometry.

## Properties
- Calculated total energy: -7.046 eV per atom
- Total magnetic moment: 0.01 μB per formula unit
- E_form (uncorrected): 1489 meV/atom

Cell lengths 3.966, 4.365, 4.365 Å; angles 90.00, 90.00, 90.00 degrees
Atoms (fractional coordinates):
In1 0.500 0.500 0.500
Os1 0.000 0.500 0.000
F1 0.000 0.000 0.000
Re1 0.500 0.000 0.000
Os2 0.000 0.000 0.500

***

The following is a DFT calculation (GGA-PBEsol) of crystalline CdTc2H2 at its relaxed geometry.

## Properties
- Calculated total energy: -5.867 eV per atom
- Total magnetic moment: 0.00 μB per formula unit

Cell lengths 3.104, 3.104, 5.893 Å; angles 105.27, 105.27, 90.00 degrees
Atoms (fractional coordinates):
H1 0.750 0.250 0.500
Tc1 0.332 0.332 0.664
Tc2 0.668 0.668 0.336
Cd1 0.000 0.000 0.000
H2 0.250 0.750 0.500

***

The following is a DFT calculation (GGA-PBEsol) of crystalline TaZn3Re at its relaxed geometry.

## Properties
- Calculated total energy: -4.554 eV per atom
- Total magnetic moment: 1.26 μB per formula unit
- Formation enthalpy at 0 K: 1.572 eV per atom

Cell lengths 4.591, 4.591, 4.591 Å; angles 90.00, 90.00, 90.00 degrees
Site moments in Bohr magnetons follow the coordinates.
Atoms (fractional coordinates):
Zn1 0.000 0.500 0.000  0.00
Zn2 0.500 0.000 0.000  0.00
Zn3 0.000 0.000 0.500  0.00
Re1 0.000 0.000 0.000  0.13
Ta1 0.500 0.500 0.500  0.81

***

The following is a DFT calculation (GGA-PBEsol) of crystalline ScInHg at its relaxed geometry.

## Properties
- Calculated total energy: -3.734 eV per atom
- Relative energy among the computed polymorphs: 5.54 kJ per mole of atoms
- Total magnetic moment: 0.40 μB per formula unit
- Formation enthalpy at 0 K: -0.349 eV per atom

Cell lengths 3.263, 3.263, 6.473 Å; angles 104.60, 104.60, 90.00 degrees
Site moments in Bohr magnetons follow the coordinates.
Atoms (fractional coordinates):
Hg1 0.994 0.994 0.988  0.00
In1 0.668 0.668 0.335  0.00
Sc1 0.338 0.338 0.677  0.28

***

The following is a DFT calculation (GGA-PBEsol) of crystalline DyMgCd2 at its relaxed geometry.

## Properties
- Calculated total energy: -2.617 eV per atom
- Total magnetic moment: 0.00 μB per formula unit
- Formation enthalpy at 0 K: -0.344 eV per atom

Cell lengths 5.008, 5.008, 5.008 Å; angles 60.00, 60.00, 60.00 degrees
Atoms (fractional coordinates):
Mg1 0.000 0.000 0.000
Cd1 0.250 0.250 0.250
Cd2 0.750 0.750 0.750
Dy1 0.500 0.500 0.500

***

The following is a DFT calculation (GGA-PBEsol) of crystalline MnMoS3 at its relaxed geometry.

## Properties
- Calculated total energy: -6.372 eV per atom
- Total magnetic moment: 5.78 μB per formula unit
- E_form (uncorrected): 564 meV/atom

Cell lengths 4.400, 4.400, 4.400 Å; angles 90.00, 90.00, 90.00 degrees
Site moments in Bohr magnetons follow the coordinates.
Atoms (fractional coordinates):
S1 0.000 0.000 0.500  -0.10
S2 0.500 0.000 0.000  -0.10
S3 0.000 0.500 0.000  -0.10
Mo1 0.500 0.500 0.500  2.99
Mn1 0.000 0.000 0.000  2.63

***

The following is a DFT calculation (GGA-PBEsol) of crystalline Fe3SBr at its relaxed geometry.

## Properties
- Calculated total energy: -5.397 eV per atom
- Relative energy among the computed polymorphs: 74.99 kJ per mole of atoms
- Total magnetic moment: 8.69 μB per formula unit
- E_form (uncorrected): 1232 meV/atom

Cell lengths 4.424, 4.424, 4.424 Å; angles 90.00, 90.00, 90.00 degrees
Site moments in Bohr magnetons follow the coordinates.
Atoms (fractional coordinates):
Fe1 0.500 0.000 0.000  2.74
Fe2 0.000 0.000 0.500  2.74
Fe3 0.000 0.500 0.000  2.74
S1 0.500 0.500 0.500  0.32
Br1 0.000 0.000 0.000  0.01